The following is a DFT calculation (meta-GGA SCAN) of a PBEsol-optimized structure of SiAs2CN.

crystal system	tetragonal
DOS(E_F)	2.24	states/eV/cell
symmetry	P4/mmm (123)
electronic total energy	-60.95	eV/cell

abc: 4.473 4.473 3.250
angles: 90.00 90.00 90.00
Sites, in units of the cell vectors:
1 Si 0.000 0.000 0.000
2 As 0.000 0.500 0.500
3 As 0.500 0.000 0.500
4 C 0.500 0.500 0.000
5 N 0.500 0.500 0.500



The following is a DFT calculation (meta-GGA SCAN) of a PBEsol-optimized structure of NaVAsCO7.

crystal system	monoclinic
symmetry	P2_1 (4)
electronic total energy	-230.63	eV/cell

abc: 5.425 6.451 9.130
angles: 90.00 90.15 90.00
Sites, in units of the cell vectors:
1 Na 0.188 0.000 0.310
2 Na 0.812 0.500 0.690
3 V 0.226 0.774 0.835
4 V 0.774 0.274 0.165
5 As 0.282 0.266 0.943
6 As 0.718 0.766 0.057
7 C 0.333 0.754 0.581
8 C 0.667 0.254 0.419
9 O 0.104 0.753 0.633
10 O 0.109 0.250 0.098
11 O 0.207 0.464 0.829
12 O 0.222 0.052 0.834
13 O 0.392 0.769 0.452
14 O 0.409 0.756 0.015
15 O 0.490 0.742 0.694
16 O 0.510 0.242 0.306
17 O 0.591 0.256 0.985
18 O 0.608 0.269 0.548
19 O 0.778 0.552 0.166
20 O 0.793 0.964 0.171
21 O 0.891 0.750 0.902
22 O 0.896 0.253 0.367



The following is a DFT calculation (meta-GGA SCAN) of a PBEsol-optimized structure of Na2VAsCO7.

crystal system	monoclinic
symmetry	P2_1/m (11)
electronic total energy	-245.79	eV/cell

abc: 5.269 6.624 9.100
angles: 90.00 91.85 90.00
Sites, in units of the cell vectors:
1 Na 0.235 0.001 0.281
2 Na 0.235 0.499 0.281
3 Na 0.765 0.501 0.719
4 Na 0.765 0.999 0.719
5 V 0.208 0.250 0.844
6 V 0.792 0.750 0.156
7 As 0.292 0.750 0.925
8 As 0.708 0.250 0.075
9 C 0.279 0.250 0.578
10 C 0.721 0.750 0.422
11 O 0.053 0.250 0.634
12 O 0.145 0.750 0.092
13 O 0.201 0.544 0.822
14 O 0.201 0.956 0.822
15 O 0.320 0.250 0.443
16 O 0.382 0.250 0.046
17 O 0.463 0.250 0.681
18 O 0.537 0.750 0.319
19 O 0.618 0.750 0.954
20 O 0.680 0.750 0.557
21 O 0.799 0.044 0.178
22 O 0.799 0.456 0.178
23 O 0.855 0.250 0.908
24 O 0.947 0.750 0.366



The following is a DFT calculation (meta-GGA SCAN) of a PBEsol-optimized structure of Nb2AsC.

energy of formation from the pure elements	-0.67	eV per atom
crystal system	hexagonal
DOS(E_F)	2.55	states/eV/cell
symmetry	P6_3/mmc (194)

abc: 3.310 3.310 11.959
angles: 90.00 90.00 120.00
Sites, in units of the cell vectors:
1 Nb 0.333 0.667 0.095
2 Nb 0.333 0.667 0.405
3 Nb 0.667 0.333 0.595
4 Nb 0.667 0.333 0.905
5 As 0.333 0.667 0.750
6 As 0.667 0.333 0.250
7 C 0.000 0.000 0.000
8 C 0.000 0.000 0.500



The following is a DFT calculation (meta-GGA SCAN) of a PBEsol-optimized structure of NbAsCSe2.

crystal system	tetragonal
DOS(E_F)	5.10	states/eV/cell
symmetry	P4/mmm (123)
electronic total energy	-96.61	eV/cell

abc: 4.909 4.909 5.019
angles: 90.00 90.00 90.00
Sites, in units of the cell vectors:
1 Nb 0.000 0.000 0.000
2 As 0.000 0.000 0.500
3 C 0.500 0.500 0.500
4 Se 0.000 0.500 0.000
5 Se 0.500 0.000 0.000



The following is a DFT calculation (meta-GGA SCAN) of a PBEsol-optimized structure of Nb2TlAsC.

energy of formation from the pure elements	3.04	eV per atom
crystal system	tetragonal
DOS(E_F)	5.13	states/eV/cell
symmetry	P4/mmm (123)

abc: 5.236 5.236 4.922
angles: 90.00 90.00 90.00
Sites, in units of the cell vectors:
1 Nb 0.000 0.500 0.000
2 Nb 0.500 0.000 0.000
3 Tl 0.000 0.000 0.000
4 As 0.000 0.000 0.500
5 C 0.500 0.500 0.500



The following is a DFT calculation (meta-GGA SCAN) of a PBEsol-optimized structure of As3OsC.

energy of formation from the pure elements	1.40	eV per atom
crystal system	cubic
DOS(E_F)	3.02	states/eV/cell
symmetry	Pm-3m (221)

abc: 4.137 4.137 4.137
angles: 90.00 90.00 90.00
Sites, in units of the cell vectors:
1 As 0.000 0.000 0.500
2 As 0.000 0.500 0.000
3 As 0.500 0.000 0.000
4 Os 0.500 0.500 0.500
5 C 0.000 0.000 0.000



The following is a DFT calculation (meta-GGA SCAN) of a PBEsol-optimized structure of AsOsC2.

energy of formation from the pure elements	0.98	eV per atom
crystal system	tetragonal
DOS(E_F)	3.82	states/eV/cell
symmetry	I-42d (122)

abc: 5.571 5.571 5.571
angles: 130.26 130.26 73.00
Sites, in units of the cell vectors:
1 As 0.000 0.000 0.000
2 As 0.750 0.250 0.500
3 Os 0.250 0.750 0.500
4 Os 0.500 0.500 0.000
5 C 0.125 0.625 0.000
6 C 0.375 0.375 0.500
7 C 0.625 0.125 0.000
8 C 0.875 0.875 0.500



The following is a DFT calculation (meta-GGA SCAN) of a PBEsol-optimized structure of Tl2AsOsC.

energy of formation from the pure elements	2.16	eV per atom
crystal system	tetragonal
DOS(E_F)	2.46	states/eV/cell
symmetry	P4/mmm (123)

abc: 5.482 5.482 4.528
angles: 90.00 90.00 90.00
Sites, in units of the cell vectors:
1 Tl 0.000 0.500 0.000
2 Tl 0.500 0.000 0.000
3 As 0.000 0.000 0.000
4 Os 0.000 0.000 0.500
5 C 0.500 0.500 0.500



The following is a DFT calculation (meta-GGA SCAN) of a PBEsol-optimized structure of AsP3C.

energy of formation from the pure elements	2.51	eV per atom
crystal system	cubic
DOS(E_F)	4.80	states/eV/cell
symmetry	Pm-3m (221)

abc: 4.601 4.601 4.601
angles: 90.00 90.00 90.00
Sites, in units of the cell vectors:
1 As 0.000 0.000 0.000
2 P 0.000 0.000 0.500
3 P 0.000 0.500 0.000
4 P 0.500 0.000 0.000
5 C 0.500 0.500 0.500



The following is a DFT calculation (meta-GGA SCAN) of a PBEsol-optimized structure of As2P2C.

energy of formation from the pure elements	0.79	eV per atom
crystal system	tetragonal
DOS(E_F)	2.80	states/eV/cell
symmetry	I4/mmm (139)

abc: 4.760 4.760 4.760
angles: 113.92 113.92 100.91
Sites, in units of the cell vectors:
1 As 0.250 0.750 0.500
2 As 0.750 0.250 0.500
3 P 0.222 0.222 0.000
4 P 0.778 0.778 0.000
5 C 0.500 0.500 0.000



The following is a DFT calculation (meta-GGA SCAN) of a PBEsol-optimized structure of AsPd3C.

energy of formation from the pure elements	1.47	eV per atom
crystal system	cubic
DOS(E_F)	1.64	states/eV/cell
symmetry	Pm-3m (221)

abc: 4.532 4.532 4.532
angles: 90.00 90.00 90.00
Sites, in units of the cell vectors:
1 As 0.000 0.000 0.000
2 Pd 0.000 0.000 0.500
3 Pd 0.000 0.500 0.000
4 Pd 0.500 0.000 0.000
5 C 0.500 0.500 0.500